Entry 1:
A relaxed Be2InBr crystal. Source: the Alexandria database, functional PBE.

Cell lengths 6.4281, 7.3624, 3.1131 Å; angles 90.00, 90.00, 90.00 degrees
Space group Cmmm (No. 65)
Inequivalent atoms, fractional coordinates:
Be (0.2500, 0.2500, 0.0000) (multiplicity 4)
In (0.0000, 0.0000, 0.5000) (multiplicity 2)
Br (0.0000, 0.5000, 0.5000) (multiplicity 2)

E_form (uncorrected)	0.8055	eV/atom
E above lowest polymorph	552	meV per atom
total magnetization	0.0	μB per cell
theoretical density	4.8	g/cm³

---

Entry 2:
A relaxed PrThGe2 crystal. Source: the Alexandria database, functional PBE.

Cell lengths 4.2563, 4.2563, 22.2628 Å; angles 90.00, 90.00, 120.00 degrees
Space group R3m (No. 160, hexagonal axes)
Inequivalent atoms, fractional coordinates:
Pr (0.0000, 0.0000, 0.0000) (multiplicity 3)
Th (0.0000, 0.0000, 0.1737) (multiplicity 3)
Ge (0.0000, 0.0000, 0.5840) (multiplicity 3)
Ge (0.0000, 0.0000, 0.7562) (multiplicity 3)

formation enthalpy at 0 K	-0.562	eV/atom
total magnetization	0.0	μB per cell
theoretical density	7.4	g/cm³

---

Entry 3:
A relaxed CdSn2Ge2 crystal. Source: the Alexandria database, functional PBE.

Cell lengths 4.0139, 4.0139, 15.6238 Å; angles 90.00, 90.00, 90.00 degrees
Space group I4/mmm (No. 139)
Inequivalent atoms, fractional coordinates:
Cd (0.0000, 0.0000, 0.0000) (multiplicity 2)
Sn (0.0000, 0.0000, 0.3913) (multiplicity 4)
Ge (0.0000, 0.5000, 0.2500) (multiplicity 4)

formation enthalpy at 0 K	0.172	eV/atom
E above lowest polymorph	0	meV per atom
total magnetization	0.0	μB per cell
theoretical density	6.5	g/cm³

---

DOS at the Fermi energy
In order: 3.7; 16.2; 3.9
Unit: states/eV/cell